[1]
Here is a geometry-optimized AcBeSiPt6 structure from the Alexandria database. Energies are from PBE-GGA.

Its total magnetic moment is 0.0000 μB/atom. The calculation puts the total energy at -6.098 eV per atom. The density of states at the Fermi level comes out at 10.6 states/eV per cell. The calculation puts the formation energy (no corrections) at -0.597 eV per atom.

The structure belongs to space group Imma (No. 74); the cell edges are 7.8304, 7.9576 and 11.2400 Å and the angles 90.00°, 90.00° and 90.00°. Symmetry generates all atoms from Ac at (0.0000, 0.2500, 0.1086), Be at (0.2500, 0.2500, 0.7500), Si at (0.0000, 0.0000, 0.5000), Pt at (0.0000, 0.2500, 0.3860), Pt at (0.0000, 0.2500, 0.8468) and Pt at (0.2337, 0.0229, 0.6290).

[2]
Here is a geometry-optimized Ac2BeSi3Pt4 structure from the Alexandria database. Energies are from PBE-GGA.

Its total magnetic moment is 0.0000 μB/atom. The calculation puts the total energy at -6.232 eV per atom. The density of states at the Fermi level comes out at 4.0 states/eV per cell. The calculation puts the formation energy (no corrections) at -0.994 eV per atom.

The structure belongs to space group P-4m2 (No. 115); the cell edges are 4.3605, 4.3605 and 9.9999 Å and the angles 90.00°, 90.00° and 90.00°. Symmetry generates all atoms from Ac at (0.0000, 0.5000, 0.2410), Be at (0.5000, 0.5000, 0.0000), Si at (0.0000, 0.0000, 0.0000), Si at (0.0000, 0.5000, 0.6269), Pt at (0.0000, 0.0000, 0.5000), Pt at (0.0000, 0.5000, 0.8814) and Pt at (0.5000, 0.5000, 0.5000).

[3]
Here is a geometry-optimized AcBeSiPt2 structure from the Alexandria database. Energies are from PBE-GGA.

Its total magnetic moment is 0.0000 μB/atom. The calculation puts the total energy at -5.973 eV per atom. The density of states at the Fermi level comes out at 9.2 states/eV per cell. The calculation puts the formation energy (no corrections) at -0.905 eV per atom.

The structure belongs to space group I-4m2 (No. 119); the cell edges are 4.2825, 4.2825 and 10.3315 Å and the angles 90.00°, 90.00° and 90.00°. Symmetry generates all atoms from Ac at (0.0000, 0.0000, 0.0000), Be at (0.0000, 0.5000, 0.2500), Si at (0.0000, 0.5000, 0.7500) and Pt at (0.0000, 0.0000, 0.3595).

[4]
Here is a geometry-optimized AcBeSi2Pt structure from the Alexandria database. Energies are from PBE-GGA.

Its total magnetic moment is 0.0000 μB/atom. The calculation puts the total energy at -5.634 eV per atom. The density of states at the Fermi level comes out at 2.0 states/eV per cell. The calculation puts the formation energy (no corrections) at -0.689 eV per atom.

The structure belongs to space group I-4m2 (No. 119); the cell edges are 4.2208, 4.2208 and 10.3123 Å and the angles 90.00°, 90.00° and 90.00°. Symmetry generates all atoms from Ac at (0.0000, 0.0000, 0.0000), Be at (0.0000, 0.5000, 0.2500), Si at (0.0000, 0.0000, 0.3740) and Pt at (0.0000, 0.5000, 0.7500).

[5]
Here is a geometry-optimized Ac2Be4Si3Pt structure from the Alexandria database. Energies are from PBE-GGA.

Its total magnetic moment is 0.0000 μB/atom. The calculation puts the total energy at -4.972 eV per atom. The density of states at the Fermi level comes out at 5.0 states/eV per cell. The calculation puts the formation energy (no corrections) at -0.429 eV per atom.

The structure belongs to space group P-4m2 (No. 115); the cell edges are 4.1364, 4.1364 and 10.0018 Å and the angles 90.00°, 90.00° and 90.00°. Symmetry generates all atoms from Ac at (0.0000, 0.5000, 0.2443), Be at (0.0000, 0.0000, 0.0000), Be at (0.0000, 0.5000, 0.6192), Be at (0.5000, 0.5000, 0.0000), Si at (0.0000, 0.5000, 0.8772), Si at (0.5000, 0.5000, 0.5000) and Pt at (0.0000, 0.0000, 0.5000).

[6]
Here is a geometry-optimized Ac2BeSi3Pt12 structure from the Alexandria database. Energies are from PBE-GGA.

Its total magnetic moment is 0.0000 μB/atom. The calculation puts the total energy at -6.214 eV per atom. The density of states at the Fermi level comes out at 13.7 states/eV per cell. The calculation puts the formation energy (no corrections) at -0.620 eV per atom.

The structure belongs to space group R-3m (No. 166, hexagonal axes); the cell edges are 7.8893, 7.8893 and 19.9266 Å and the angles 90.00°, 90.00° and 120.00°. Symmetry generates all atoms from Ac at (0.0000, 0.0000, 0.1400), Be at (0.0000, 0.0000, 0.5000), Si at (0.0000, 0.5000, 0.0000), Pt at (0.0114, 0.5057, 0.3704) and Pt at (0.0424, 0.5212, 0.1170).

[7]
Here is a geometry-optimized Ac3Be2SnPt9 structure from the Alexandria database. Energies are from PBE-GGA.

Its total magnetic moment is 0.0000 μB/atom. The calculation puts the total energy at -5.962 eV per atom. The density of states at the Fermi level comes out at 7.4 states/eV per cell.

The structure belongs to space group P-3m1 (No. 164); the cell edges are 6.9423, 6.9423 and 7.3749 Å and the angles 90.00°, 90.00° and 120.00°. Symmetry generates all atoms from Ac at (0.0000, 0.0000, 0.0000), Ac at (0.3333, 0.6667, 0.6661), Be at (0.3333, 0.6667, 0.1214), Sn at (0.0000, 0.0000, 0.5000), Pt at (0.0000, 0.5000, 0.0000) and Pt at (0.1891, 0.3782, 0.3124).

[8]
Here is a geometry-optimized AcBeZnPt3 structure from the Alexandria database. Energies are from PBE-GGA.

Its total magnetic moment is 0.0000 μB/atom. The calculation puts the total energy at -5.255 eV per atom. The density of states at the Fermi level comes out at 13.4 states/eV per cell.

The structure belongs to space group Cmcm (No. 63); the cell edges are 6.2301, 12.5662 and 5.8544 Å and the angles 90.00°, 90.00° and 90.00°. Symmetry generates all atoms from Ac at (0.0000, 0.2287, 0.2500), Be at (0.0000, 0.4940, 0.2500), Zn at (0.0000, 0.1264, 0.7500), Pt at (0.0000, 0.3240, 0.7500) and Pt at (0.2311, 0.0000, 0.0000).

[9]
Here is a geometry-optimized RbAcBeS3 structure from the Alexandria database. Energies are from PBE-GGA.

Its total magnetic moment is 0.0000 μB/atom. The calculation puts the total energy at -5.046 eV per atom. The density of states at the Fermi level comes out at 0.0 states/eV per cell. The calculation puts the formation energy (no corrections) at -1.516 eV per atom.

The structure belongs to space group P2_1/m (No. 11); the cell edges are 9.3188, 4.1903 and 9.5518 Å and the angles 90.00°, 104.36° and 90.00°. Symmetry generates all atoms from Rb at (0.2204, 0.2500, 0.1790), Ac at (0.1710, 0.2500, 0.6596), Be at (0.3968, 0.7500, 0.9329), S at (0.1557, 0.7500, 0.4394), S at (0.1711, 0.7500, 0.8811) and S at (0.4808, 0.2500, 0.8546).

[10]
Here is a geometry-optimized Rb2AcBe2Se4 structure from the Alexandria database. Energies are from PBE-GGA.

Its total magnetic moment is 0.0529 μB/atom. The calculation puts the total energy at -4.109 eV per atom. The density of states at the Fermi level comes out at 5.1 states/eV per cell. The calculation puts the formation energy (no corrections) at -1.061 eV per atom.

The structure belongs to space group C2/m (No. 12); the cell edges are 16.3503, 3.9834 and 9.0667 Å and the angles 90.00°, 116.31° and 90.00°. Symmetry generates all atoms from Rb at (0.1270, 0.0000, 0.0651), Ac at (0.0000, 0.0000, 0.5000), Be at (0.1719, 0.5000, 0.4634), Se at (0.0323, 0.5000, 0.2589) and Se at (0.2127, 0.0000, 0.6248).

[11]
Here is a geometry-optimized RbAcBeSe3 structure from the Alexandria database. Energies are from PBE-GGA.

Its total magnetic moment is 0.0000 μB/atom. The calculation puts the total energy at -4.598 eV per atom. The density of states at the Fermi level comes out at 0.0 states/eV per cell. The calculation puts the formation energy (no corrections) at -1.388 eV per atom.

The structure belongs to space group P2_1/m (No. 11); the cell edges are 9.7860, 4.3176 and 9.9192 Å and the angles 90.00°, 105.04° and 90.00°. Symmetry generates all atoms from Rb at (0.2253, 0.2500, 0.1844), Ac at (0.1655, 0.2500, 0.6631), Be at (0.3953, 0.7500, 0.9293), Se at (0.1608, 0.7500, 0.4411), Se at (0.1646, 0.7500, 0.8872) and Se at (0.4806, 0.2500, 0.8479).